## Hf4FeCo (PBE)

Data for crystalline Hf4FeCo at its relaxed geometry.

Cell and atoms, written as CIF:
```
data_Hf4FeCo
_symmetry_space_group_name_H-M 'I 4 2 2'
_symmetry_Int_Tables_number 97
_symmetry_space_group_name_Hall 'I 4 2'
_cell_length_a 6.216
_cell_length_b 6.216
_cell_length_c 5.620
_cell_angle_alpha 90.00
_cell_angle_beta 90.00
_cell_angle_gamma 90.00
loop_
_atom_site_label
_atom_site_type_symbol
_atom_site_fract_x
_atom_site_fract_y
_atom_site_fract_z
Hf1 Hf 0.178 0.322 0.250
Fe1 Fe 0.000 0.000 0.000
Co1 Co 0.000 0.000 0.500
```

Values from the calculation:
- DFT total energy: -9.49 eV/atom
- Energy relative to the lowest polymorph listed for this composition: 0 meV per atom
- M_tot: 0.00 Bohr magnetons per cell